No. 1
Here is a relaxed structure of Tb3InO6 from Alexandria via LeMat-Bulk. Energies are from PBE.

```
data_Tb3InO6
_chemical_formula_sum 'Tb12 In4 O24'
_symmetry_space_group_name_H-M 'C m c 21'
_symmetry_Int_Tables_number 36
_cell_length_a 9.010
_cell_length_b 11.296
_cell_length_c 5.624
_cell_angle_alpha 90.00
_cell_angle_beta 90.00
_cell_angle_gamma 90.00
loop_
_symmetry_equiv_pos_as_xyz
'x,y,z'
'-x,-y,z+1/2'
'-x,y,z'
'x,-y,z+1/2'
'x+1/2,y+1/2,z'
'-x+1/2,-y+1/2,z+1/2'
'-x+1/2,y+1/2,z'
'x+1/2,-y+1/2,z+1/2'
loop_
_atom_site_label
_atom_site_type_symbol
_atom_site_fract_x
_atom_site_fract_y
_atom_site_fract_z
Tb1 Tb 0.000 0.100 0.000
Tb2 Tb 0.196 0.394 0.947
In1 In 0.000 0.316 0.431
O1 O 0.000 0.281 0.788
O2 O 0.000 0.474 0.230
O3 O 0.160 0.018 0.724
O4 O 0.165 0.233 0.225
```

Formation energy without anion corrections   -30.2 eV/f.u.
Magnetization   0.00 μB per cell
Final energy   -7.6549 eV/atom

---

No. 2
Here is a relaxed structure of ZrInAs from Alexandria via LeMat-Bulk. Energies are from PBE.

```
data_ZrInAs
_chemical_formula_sum 'Zr1 In1 As1'
_symmetry_space_group_name_H-M 'P 3 m 1'
_symmetry_Int_Tables_number 156
_cell_length_a 3.2700
_cell_length_b 3.2700
_cell_length_c 7.1385
_cell_angle_alpha 90.00
_cell_angle_beta 90.00
_cell_angle_gamma 120.00
loop_
_symmetry_equiv_pos_as_xyz
'x,y,z'
'-y,x-y,z'
'-x+y,-x,z'
'-y,-x,z'
'-x+y,y,z'
'x,x-y,z'
loop_
_atom_site_label
_atom_site_type_symbol
_atom_site_fract_x
_atom_site_fract_y
_atom_site_fract_z
Zr1 Zr 0.0000 0.0000 0.0000
In1 In 0.3333 0.6667 0.6492
As1 As 0.6667 0.3333 0.2986
```

Magnetization   0.00 μB per cell
Final energy   -5.4858 eV/atom
ΔE_f   -4.01 kcal/mol of atoms